No. 1
This record from Alexandria via LeMat-Bulk describes a relaxed structure of U2Tl3PdSe6. The functional is PBE-GGA.

As for the total magnetic moment: 2.99 μB per cell. As for the electronic total energy: -5.376 eV per atom. As for the volume: 27.85 Å³/atom. As for the space-group type: No. 12. Its formation energy from raw total energies is -0.73 eV/atom.

Geometry as CIF:
```
data_U2Tl3PdSe6
_chemical_formula_sum 'U2 Tl3 Pd1 Se6'
_cell_length_a 7.007
_cell_length_b 7.007
_cell_length_c 8.221
_cell_angle_alpha 97.91
_cell_angle_beta 97.91
_cell_angle_gamma 120.47
_space_group_name_H-M_alt 'P 1'
_space_group_IT_number 1
_space_group_name_Hall 'P 1'
loop_
_atom_site_label
_atom_site_type_symbol
_atom_site_fract_x
_atom_site_fract_y
_atom_site_fract_z
Se1 Se 0.067 0.410 0.206
Tl1 Tl 0.500 0.500 0.500
Se2 Se 0.933 0.590 0.794
U1 U 0.667 0.333 0.000
Se3 Se 0.733 0.733 0.196
Tl2 Tl 0.163 0.837 0.500
Pd1 Pd 0.000 0.000 0.000
Se4 Se 0.410 0.067 0.206
U2 U 0.333 0.667 0.000
Se5 Se 0.590 0.933 0.794
Se6 Se 0.267 0.267 0.804
Tl3 Tl 0.837 0.163 0.500
```


No. 2
This record from Alexandria via LeMat-Bulk describes a relaxed structure of Ac4Pm5Dy. The functional is PBE-GGA.

As for the total magnetic moment: 0.00 μB per cell. As for the electronic total energy: -4.438 eV per atom. For the formation energy, the calculation gives 39 kJ/mol of formula units. As for the volume: 38.04 Å³/atom. As for the space-group type: No. 123.

Geometry as CIF:
```
data_Ac4Pm5Dy
_chemical_formula_sum 'Ac4 Pm5 Dy1'
_cell_length_a 3.828
_cell_length_b 3.828
_cell_length_c 25.965
_cell_angle_alpha 90.00
_cell_angle_beta 90.00
_cell_angle_gamma 90.00
_space_group_name_H-M_alt 'P 1'
_space_group_IT_number 1
_space_group_name_Hall 'P 1'
loop_
_atom_site_label
_atom_site_type_symbol
_atom_site_fract_x
_atom_site_fract_y
_atom_site_fract_z
Pm1 Pm 0.500 0.500 0.296
Ac1 Ac 0.000 0.000 0.806
Ac2 Ac 0.000 0.000 0.398
Pm2 Pm 0.500 0.500 0.704
Dy1 Dy 0.000 0.000 0.000
Pm3 Pm 0.500 0.500 0.908
Pm4 Pm 0.500 0.500 0.092
Ac3 Ac 0.000 0.000 0.194
Ac4 Ac 0.000 0.000 0.602
Pm5 Pm 0.500 0.500 0.500
```


No. 3
This record from Alexandria via LeMat-Bulk describes a relaxed structure of Ac3Al2Pd6. The functional is PBE-GGA.

As for the total magnetic moment: 0.00 μB per cell. As for the electronic total energy: -5.436 eV per atom. For the formation energy, the calculation gives -852 kJ/mol of formula units. As for the volume: 22.03 Å³/atom. As for the space-group type: No. 229.

Geometry as CIF:
```
data_Ac3Al2Pd6
_chemical_formula_sum 'Ac6 Al4 Pd12'
_cell_length_a 8.570
_cell_length_b 8.570
_cell_length_c 8.570
_cell_angle_alpha 109.47
_cell_angle_beta 109.47
_cell_angle_gamma 109.47
_space_group_name_H-M_alt 'P 1'
_space_group_IT_number 1
_space_group_name_Hall 'P 1'
loop_
_atom_site_label
_atom_site_type_symbol
_atom_site_fract_x
_atom_site_fract_y
_atom_site_fract_z
Al1 Al 0.000 0.000 0.500
Pd1 Pd 0.000 0.675 0.325
Pd2 Pd 0.325 0.325 0.649
Al2 Al 0.500 0.500 0.500
Pd3 Pd 0.325 0.000 0.675
Pd4 Pd 0.325 0.675 0.000
Pd5 Pd 0.649 0.325 0.325
Al3 Al 0.000 0.500 0.000
Ac1 Ac 0.705 0.000 0.705
Ac2 Ac 0.295 0.295 0.000
Pd6 Pd 0.351 0.675 0.675
Ac3 Ac 0.705 0.705 0.000
Ac4 Ac 0.295 0.000 0.295
Pd7 Pd 0.675 0.675 0.351
Pd8 Pd 0.000 0.325 0.675
Al4 Al 0.500 0.000 0.000
Ac5 Ac 0.000 0.705 0.705
Pd9 Pd 0.675 0.351 0.675
Pd10 Pd 0.325 0.649 0.325
Pd11 Pd 0.675 0.000 0.325
Ac6 Ac 0.000 0.295 0.295
Pd12 Pd 0.675 0.325 0.000
```


No. 4
This record from Alexandria via LeMat-Bulk describes a relaxed structure of Na2Os2Au. The functional is PBE-GGA.

As for the total magnetic moment: 1.48 μB per cell. As for the electronic total energy: -4.246 eV per atom. For the formation energy, the calculation gives 690 kJ/mol of formula units. As for the volume: 19.00 Å³/atom. For the relative energy among the computed polymorphs, the calculation gives 0.5959 eV/atom. As for the space-group type: No. 139.

Geometry as CIF:
```
data_Na2Os2Au
_chemical_formula_sum 'Na2 Os2 Au1'
_cell_length_a 3.593
_cell_length_b 3.593
_cell_length_c 7.786
_cell_angle_alpha 76.66
_cell_angle_beta 76.66
_cell_angle_gamma 90.00
_space_group_name_H-M_alt 'P 1'
_space_group_IT_number 1
_space_group_name_Hall 'P 1'
loop_
_atom_site_label
_atom_site_type_symbol
_atom_site_fract_x
_atom_site_fract_y
_atom_site_fract_z
Os1 Os 0.419 0.419 0.161
Au1 Au 0.000 0.000 0.000
Na1 Na 0.250 0.750 0.500
Os2 Os 0.581 0.581 0.839
Na2 Na 0.750 0.250 0.500
```


No. 5
This record from Alexandria via LeMat-Bulk describes a relaxed structure of B2IrSe6. The functional is PBE-GGA.

As for the total magnetic moment: 0.00 μB per cell. As for the electronic total energy: -4.846 eV per atom. As for the volume: 19.94 Å³/atom. As for the space-group type: No. 15. Its formation energy from raw total energies is -0.05 eV/atom.

Geometry as CIF:
```
data_B2IrSe6
_chemical_formula_sum 'B4 Ir2 Se12'
_cell_length_a 6.280
_cell_length_b 7.707
_cell_length_c 7.707
_cell_angle_alpha 80.86
_cell_angle_beta 80.17
_cell_angle_gamma 80.17
_space_group_name_H-M_alt 'P 1'
_space_group_IT_number 1
_space_group_name_Hall 'P 1'
loop_
_atom_site_label
_atom_site_type_symbol
_atom_site_fract_x
_atom_site_fract_y
_atom_site_fract_z
Se1 Se 0.860 0.199 0.012
Se2 Se 0.664 0.594 0.098
Se3 Se 0.836 0.902 0.406
Ir1 Ir 0.250 0.110 0.890
B1 B 0.341 0.208 0.359
B2 B 0.659 0.792 0.641
Se4 Se 0.336 0.406 0.902
Ir2 Ir 0.750 0.890 0.110
Se5 Se 0.876 0.574 0.727
Se6 Se 0.140 0.801 0.988
Se7 Se 0.164 0.098 0.594
Se8 Se 0.376 0.727 0.574
Se9 Se 0.360 0.012 0.199
B3 B 0.841 0.359 0.208
Se10 Se 0.124 0.426 0.273
Se11 Se 0.624 0.273 0.426
Se12 Se 0.640 0.988 0.801
B4 B 0.159 0.641 0.792
```


No. 6
This record from Alexandria via LeMat-Bulk describes a relaxed structure of ZnAu2Se. The functional is PBE-GGA.

As for the total magnetic moment: 0.00 μB per cell. As for the electronic total energy: -2.725 eV per atom. As for the volume: 18.51 Å³/atom. As for the space-group type: No. 35. Its formation energy from raw total energies is 0.10 eV/atom.

Geometry as CIF:
```
data_ZnAu2Se
_chemical_formula_sum 'Zn1 Au2 Se1'
_cell_length_a 2.946
_cell_length_b 2.946
_cell_length_c 8.758
_cell_angle_alpha 90.00
_cell_angle_beta 90.00
_cell_angle_gamma 103.00
_space_group_name_H-M_alt 'P 1'
_space_group_IT_number 1
_space_group_name_Hall 'P 1'
loop_
_atom_site_label
_atom_site_type_symbol
_atom_site_fract_x
_atom_site_fract_y
_atom_site_fract_z
Se1 Se 0.000 0.000 0.533
Au1 Au 0.000 0.000 0.976
Zn1 Zn 0.500 0.500 0.760
Au2 Au 0.500 0.500 0.231
```


No. 7
This record from Alexandria via LeMat-Bulk describes a relaxed structure of MgScIr2Os. The functional is PBE-GGA.

As for the total magnetic moment: 0.95 μB per cell. As for the electronic total energy: -5.919 eV per atom. For the formation energy, the calculation gives 703 kJ/mol of formula units. As for the volume: 17.83 Å³/atom. As for the space-group type: No. 123.

Geometry as CIF:
```
data_MgScIr2Os
_chemical_formula_sum 'Mg1 Sc1 Ir2 Os1'
_cell_length_a 4.409
_cell_length_b 4.588
_cell_length_c 4.409
_cell_angle_alpha 90.00
_cell_angle_beta 90.00
_cell_angle_gamma 90.00
_space_group_name_H-M_alt 'P 1'
_space_group_IT_number 1
_space_group_name_Hall 'P 1'
loop_
_atom_site_label
_atom_site_type_symbol
_atom_site_fract_x
_atom_site_fract_y
_atom_site_fract_z
Ir1 Ir 0.500 0.000 0.000
Os1 Os 0.500 0.500 0.500
Ir2 Ir 0.000 0.000 0.500
Sc1 Sc 0.000 0.500 0.000
Mg1 Mg 0.000 0.000 0.000
```


No. 8
This record from Alexandria via LeMat-Bulk describes a relaxed structure of Li3CdPd6. The functional is PBE-GGA.

As for the total magnetic moment: 0.00 μB per cell. As for the electronic total energy: -4.124 eV per atom. For the formation energy, the calculation gives -330 kJ/mol of formula units. As for the volume: 14.72 Å³/atom. For the relative energy among the computed polymorphs, the calculation gives 0.0000 eV/atom. As for the space-group type: No. 11.

Geometry as CIF:
```
data_Li3CdPd6
_chemical_formula_sum 'Li6 Cd2 Pd12'
_cell_length_a 4.237
_cell_length_b 7.801
_cell_length_c 9.081
_cell_angle_alpha 101.28
_cell_angle_beta 90.00
_cell_angle_gamma 90.00
_space_group_name_H-M_alt 'P 1'
_space_group_IT_number 1
_space_group_name_Hall 'P 1'
loop_
_atom_site_label
_atom_site_type_symbol
_atom_site_fract_x
_atom_site_fract_y
_atom_site_fract_z
Pd1 Pd 0.250 0.623 0.692
Pd2 Pd 0.250 0.460 0.104
Li1 Li 0.750 0.647 0.182
Cd1 Cd 0.750 0.056 0.396
Pd3 Pd 0.750 0.377 0.308
Pd4 Pd 0.250 0.155 0.212
Pd5 Pd 0.750 0.724 0.479
Pd6 Pd 0.250 0.276 0.521
Li2 Li 0.750 0.249 0.024
Li3 Li 0.250 0.751 0.976
Pd7 Pd 0.250 0.823 0.278
Li4 Li 0.250 0.545 0.396
Cd2 Cd 0.250 0.944 0.604
Pd8 Pd 0.750 0.845 0.788
Pd9 Pd 0.750 0.177 0.722
Pd10 Pd 0.750 0.540 0.896
Pd11 Pd 0.250 0.064 0.911
Li5 Li 0.250 0.353 0.818
Pd12 Pd 0.750 0.936 0.089
Li6 Li 0.750 0.455 0.604
```